Entry 1:
This record from Alexandria via LeMat-Bulk describes TbPr6NdTm2 after structural relaxation. The functional is GGA-PBE.

It has space group C2/c (No. 15), with a = 9.349 Å, b = 15.341 Å, c = 9.791 Å, α = 90.00°, β = 98.14° and γ = 90.00°. Symmetry generates all atoms from Tb at (0.000, 0.030, 0.250), Pr at (0.065, 0.174, 0.945), Pr at (0.097, 0.393, 0.120), Pr at (0.212, 0.224, 0.316), Nd at (0.000, 0.407, 0.750) and Tm at (0.244, 0.047, 0.548).

The calculation puts the calculated formation energy at 112 meV per atom. The calculation puts the spin magnetization at 0.0 μB per cell.



Entry 2:
This record from Alexandria via LeMat-Bulk describes Rb2CuI5 after structural relaxation. The functional is GGA-PBE.

It has space group P1 (No. 1), with a = 6.496 Å, b = 7.287 Å, c = 9.012 Å, α = 88.88°, β = 79.28° and γ = 89.74°. Symmetry generates all atoms from Rb at (0.000, 0.000, 0.000), Rb at (0.422, 0.491, 0.249), Cu at (0.035, 0.504, 0.753), I at (0.050, 0.219, 0.589), I at (0.315, 0.751, 0.638), I at (0.454, 0.995, 0.177), I at (0.690, 0.506, 0.635) and I at (0.974, 0.497, 0.043).

The calculation puts the spin magnetization at 0.0 μB per cell. The energy relative to the elements, uncorrected is -766 meV per atom.



| no. | VASP energy (eV/atom) |
| --- | --- |
| 1 | -4.589 |
| 2 | -2.489 |